Record 1
The following is a DFT calculation (PBEsol) of Ti2ZnCo2 after structural relaxation.

Properties
The calculation puts the density of states at the Fermi level at 0.9350 states/eV/atom. The total energy comes out at -7.062 eV/atom. For the size of the total moment, the calculation gives 0.000 μB/atom. The calculated volume is 13.078 Å³/atom. The formation enthalpy at 0 K comes out at -0.32 eV per atom.

a = 6.7803 Å, b = 6.7803 Å, c = 2.8448 Å
α = 90.00°, β = 90.00°, γ = 90.00°
With the nearest neighbours (Å) after each atom.
Space group P4/mbm (No. 127)
Inequivalent atoms, fractional coordinates:
Ti1 0.1625 0.3375 0.0000 x4  6 Co 2.40-2.48
Zn1 0.0000 0.0000 0.5000 x2  4 Co 2.63, 2 Zn 2.84, 8 Ti 2.91
Co1 0.1363 0.6363 0.5000 x4  6 Ti 2.40-2.48, 1 Co 2.61, 2 Zn 2.63



Record 2
The following is a DFT calculation (PBEsol) of Zr2TiCo2 after structural relaxation.

Properties
The calculation puts the density of states at the Fermi level at 1.1271 states/eV/atom. The total energy comes out at -8.637 eV/atom. For the size of the total moment, the calculation gives 0.000 μB/atom. The calculated volume is 15.802 Å³/atom. The formation enthalpy at 0 K comes out at -0.24 eV per atom.

a = 6.8595 Å, b = 6.8595 Å, c = 3.3585 Å
α = 90.00°, β = 90.00°, γ = 90.00°
With the nearest neighbours (Å) after each atom.
Space group P4/mbm (No. 127)
Inequivalent atoms, fractional coordinates:
Zr1 0.1727 0.3273 0.0000 x4  6 Co 2.56-2.68
Ti1 0.0000 0.0000 0.5000 x2  4 Co 2.70
Co1 0.1280 0.6280 0.5000 x4  1 Co 2.48, 6 Zr 2.56-2.68, 2 Ti 2.70